1.
First-principles (PBE) data for a relaxed structure of Li15ZnAg4, as listed in Alexandria via LeMat-Bulk.

a = 4.107 Å, b = 4.107 Å, c = 19.965 Å
α = 90.00°, β = 90.00°, γ = 90.00°
Element x y z (fractional)
Li  0.000  0.000  0.000
Li  0.000  0.000  0.201
Li  0.000  0.000  0.400
Li  0.000  0.000  0.600
Li  0.000  0.000  0.799
Li  0.000  0.500  0.100
Li  0.000  0.500  0.300
Li  0.000  0.500  0.500
Li  0.000  0.500  0.700
Li  0.000  0.500  0.900
Li  0.500  0.000  0.100
Li  0.500  0.000  0.300
Li  0.500  0.000  0.500
Li  0.500  0.000  0.700
Li  0.500  0.000  0.900
Zn  0.500  0.500  0.000
Ag  0.500  0.500  0.200
Ag  0.500  0.500  0.400
Ag  0.500  0.500  0.600
Ag  0.500  0.500  0.800

Computed properties:
E: -2.190 eV/atom
formation energy from the elements: -2.79 kcal/mol of atoms
crystal system: tetragonal
N(E_F): 9.8 states/eV/cell
magnetization: 0.00 μB per formula unit



2.
First-principles (PBE) data for a relaxed structure of La3AsP2Rh9, as listed in Alexandria via LeMat-Bulk.

a = 6.127 Å, b = 6.127 Å, c = 8.816 Å
α = 90.00°, β = 90.00°, γ = 120.00°
Element x y z (fractional)
La  0.000  0.000  0.000
La  0.333  0.667  0.663
La  0.667  0.333  0.337
As  0.000  0.000  0.500
P  0.333  0.667  0.165
P  0.667  0.333  0.835
Rh  0.000  0.500  0.000
Rh  0.153  0.305  0.290
Rh  0.153  0.847  0.290
Rh  0.305  0.153  0.710
Rh  0.500  0.000  0.000
Rh  0.500  0.500  0.000
Rh  0.695  0.847  0.290
Rh  0.847  0.153  0.710
Rh  0.847  0.695  0.710

Computed properties:
E: -7.144 eV/atom
formation energy from the elements: -16.51 kcal/mol of atoms
crystal system: trigonal
N(E_F): 8.6 states/eV/cell
magnetization: 0.00 μB per formula unit



3.
First-principles (PBE) data for a relaxed structure of BaMgSe4, as listed in Alexandria via LeMat-Bulk.

a = 6.045 Å, b = 6.045 Å, c = 6.045 Å
α = 60.00°, β = 60.00°, γ = 60.00°
Element x y z (fractional)
Ba  0.000  0.000  0.000
Mg  0.750  0.750  0.750
Se  0.377  0.377  0.377
Se  0.377  0.377  0.869
Se  0.377  0.869  0.377
Se  0.869  0.377  0.377

Computed properties:
E: -3.213 eV/atom
crystal system: cubic
N(E_F): 5.2 states/eV/cell
raw formation energy: -303 meV per atom
magnetization: 0.00 μB per formula unit



4.
First-principles (PBE) data for a relaxed structure of TiV3, as listed in Alexandria via LeMat-Bulk.

a = 5.199 Å, b = 5.199 Å, c = 8.289 Å
α = 108.36°, β = 108.36°, γ = 59.99°
Element x y z (fractional)
Ti  0.000  0.000  0.000
Ti  0.146  0.146  0.438
Ti  0.854  0.854  0.562
V  0.079  0.586  0.251
V  0.333  0.333  0.999
V  0.414  0.414  0.749
V  0.414  0.921  0.749
V  0.500  0.500  0.500
V  0.586  0.079  0.251
V  0.586  0.586  0.251
V  0.667  0.667  0.001
V  0.921  0.414  0.749

Computed properties:
E: -8.638 eV/atom
formation energy from the elements: 4.02 kcal/mol of atoms
crystal system: monoclinic
N(E_F): 23.6 states/eV/cell
magnetization: 0.00 μB per formula unit



5.
First-principles (PBE) data for a relaxed structure of LaDy5Y2, as listed in Alexandria via LeMat-Bulk.

a = 7.163 Å, b = 14.330 Å, c = 5.046 Å
α = 90.00°, β = 90.00°, γ = 90.00°
Element x y z (fractional)
La  0.000  0.000  0.000
La  0.500  0.500  0.000
Dy  0.000  0.252  0.000
Dy  0.000  0.500  0.000
Dy  0.000  0.748  0.000
Dy  0.249  0.374  0.500
Dy  0.251  0.874  0.500
Dy  0.500  0.000  0.000
Dy  0.500  0.248  0.000
Dy  0.500  0.752  0.000
Dy  0.749  0.126  0.500
Dy  0.751  0.626  0.500
Y  0.249  0.626  0.500
Y  0.251  0.126  0.500
Y  0.749  0.874  0.500
Y  0.751  0.374  0.500

Computed properties:
E: -5.083 eV/atom
formation energy from the elements: 0.58 kcal/mol of atoms
crystal system: orthorhombic
N(E_F): 21.9 states/eV/cell
magnetization: 0.00 μB per formula unit



6.
First-principles (PBE) data for a relaxed structure of Ac2CeSn2, as listed in Alexandria via LeMat-Bulk.

a = 8.575 Å, b = 8.575 Å, c = 8.575 Å
α = 117.24°, β = 81.10°, γ = 134.18°
Element x y z (fractional)
Ac  0.145  0.143  0.288
Ac  0.355  0.643  0.998
Ac  0.645  0.357  0.002
Ac  0.855  0.857  0.712
Ce  0.250  0.750  0.500
Ce  0.750  0.250  0.500
Sn  0.112  0.763  0.876
Sn  0.388  0.263  0.651
Sn  0.612  0.737  0.349
Sn  0.888  0.237  0.124

Computed properties:
E: -4.906 eV/atom
formation energy from the elements: -10.95 kcal/mol of atoms
crystal system: orthorhombic
N(E_F): 15.0 states/eV/cell
magnetization: 1.92 μB per formula unit



7.
First-principles (PBE) data for a relaxed structure of CaMgBr2, as listed in Alexandria via LeMat-Bulk.

a = 3.649 Å, b = 3.649 Å, c = 9.281 Å
α = 90.00°, β = 90.00°, γ = 90.00°
Element x y z (fractional)
Ca  0.000  0.000  0.000
Mg  0.500  0.500  0.284
Br  0.000  0.000  0.430
Br  0.500  0.500  0.831

Computed properties:
E: -2.866 eV/atom
distance to the lowest polymorph of the same formula: 0.42 eV per formula unit
crystal system: tetragonal
N(E_F): 0.6 states/eV/cell
raw formation energy: -1131 meV per atom
magnetization: 0.00 μB per formula unit



8.
First-principles (PBE) data for a relaxed structure of Tc2PtCl, as listed in Alexandria via LeMat-Bulk.

a = 4.651 Å, b = 4.651 Å, c = 2.807 Å
α = 90.00°, β = 90.00°, γ = 90.12°
Element x y z (fractional)
Tc  0.000  0.500  0.000
Tc  0.500  0.000  0.000
Pt  0.000  0.000  0.500
Cl  0.500  0.500  0.500

Computed properties:
E: -6.497 eV/atom
distance to the lowest polymorph of the same formula: 2.16 eV per formula unit
crystal system: orthorhombic
N(E_F): 6.0 states/eV/cell
raw formation energy: 658 meV per atom
magnetization: 1.03 μB per formula unit



9.
First-principles (PBE) data for a relaxed structure of OsPdSN, as listed in Alexandria via LeMat-Bulk.

a = 3.421 Å, b = 3.413 Å, c = 6.079 Å
α = 90.00°, β = 104.57°, γ = 90.00°
Element x y z (fractional)
Os  0.000  0.000  0.000
Pd  0.668  0.500  0.344
S  0.892  0.500  0.749
N  0.564  0.000  0.143

Computed properties:
E: -6.933 eV/atom
distance to the lowest polymorph of the same formula: 0.43 eV per formula unit
crystal system: monoclinic
N(E_F): 2.5 states/eV/cell
raw formation energy: 286 meV per atom
magnetization: 0.00 μB per formula unit



10.
First-principles (PBE) data for a relaxed structure of TiBeHSe2, as listed in Alexandria via LeMat-Bulk.

a = 4.570 Å, b = 4.570 Å, c = 3.343 Å
α = 90.00°, β = 90.00°, γ = 90.00°
Element x y z (fractional)
Ti  0.000  0.000  0.000
Be  0.500  0.500  0.000
H  0.000  0.000  0.500
Se  0.000  0.500  0.500
Se  0.500  0.000  0.500

Computed properties:
E: -4.304 eV/atom
crystal system: tetragonal
N(E_F): 2.5 states/eV/cell
magnetization: 0.00 μB per formula unit



11.
First-principles (PBE) data for a relaxed structure of Sm4GeSb2, as listed in Alexandria via LeMat-Bulk.

a = 8.338 Å, b = 8.338 Å, c = 8.338 Å
α = 109.48°, β = 109.38°, γ = 109.55°
Element x y z (fractional)
Sm  0.188  0.241  0.553
Sm  0.188  0.635  0.947
Sm  0.241  0.188  0.053
Sm  0.365  0.812  0.553
Sm  0.635  0.188  0.447
Sm  0.759  0.812  0.947
Sm  0.812  0.365  0.053
Sm  0.812  0.759  0.447
Ge  0.125  0.875  0.250
Ge  0.875  0.125  0.750
Sb  0.000  0.500  0.500
Sb  0.500  0.000  0.000
Sb  0.500  0.500  0.000
Sb  0.500  0.500  0.500

Computed properties:
E: -5.321 eV/atom
crystal system: orthorhombic
N(E_F): 13.0 states/eV/cell
raw formation energy: -787 meV per atom
magnetization: 0.37 μB per formula unit



12.
First-principles (PBE) data for a relaxed structure of MgNiRu2, as listed in Alexandria via LeMat-Bulk.

a = 2.691 Å, b = 2.691 Å, c = 8.733 Å
α = 90.00°, β = 90.00°, γ = 115.48°
Element x y z (fractional)
Mg  0.000  0.000  0.000
Ni  0.500  0.500  0.245
Ru  0.000  0.000  0.484
Ru  0.500  0.500  0.735

Computed properties:
E: -6.173 eV/atom
formation energy from the elements: 7.13 kcal/mol of atoms
crystal system: orthorhombic
N(E_F): 5.0 states/eV/cell
magnetization: 1.42 μB per formula unit



13.
First-principles (PBE) data for a relaxed structure of BaIr3Se, as listed in Alexandria via LeMat-Bulk.

a = 5.151 Å, b = 5.151 Å, c = 5.151 Å
α = 90.00°, β = 90.00°, γ = 90.00°
Element x y z (fractional)
Ba  0.000  0.000  0.000
Ir  0.000  0.000  0.500
Ir  0.000  0.500  0.000
Ir  0.500  0.000  0.000
Se  0.500  0.500  0.500

Computed properties:
E: -3.493 eV/atom
distance to the lowest polymorph of the same formula: 11.45 eV per formula unit
crystal system: cubic
N(E_F): 8.7 states/eV/cell
raw formation energy: 2905 meV per atom
magnetization: 1.69 μB per formula unit



14.
First-principles (PBE) data for a relaxed structure of Nb8C3N, as listed in Alexandria via LeMat-Bulk.

a = 5.382 Å, b = 5.382 Å, c = 6.281 Å
α = 90.00°, β = 90.00°, γ = 109.05°
Element x y z (fractional)
Nb  0.239  0.251  0.250
Nb  0.249  0.751  0.000
Nb  0.250  0.750  0.500
Nb  0.251  0.239  0.750
Nb  0.749  0.761  0.750
Nb  0.750  0.250  0.500
Nb  0.751  0.249  0.000
Nb  0.761  0.749  0.250
C  0.000  0.000  0.500
C  0.000  0.500  0.250
C  0.500  0.000  0.750
N  0.000  0.000  0.000

Computed properties:
E: -10.188 eV/atom
crystal system: orthorhombic
N(E_F): 7.4 states/eV/cell
raw formation energy: -475 meV per atom
magnetization: 0.00 μB per formula unit



15.
First-principles (PBE) data for a relaxed structure of CsInO2, as listed in Alexandria via LeMat-Bulk.

a = 6.417 Å, b = 4.539 Å, c = 10.689 Å
α = 90.00°, β = 90.00°, γ = 90.00°
Element x y z (fractional)
Cs  0.011  0.250  0.133
Cs  0.489  0.750  0.633
Cs  0.511  0.250  0.367
Cs  0.989  0.750  0.867
In  0.006  0.750  0.380
In  0.494  0.250  0.880
In  0.506  0.750  0.120
In  0.994  0.250  0.620
O  0.010  0.250  0.421
O  0.240  0.250  0.753
O  0.260  0.750  0.253
O  0.490  0.750  0.921
O  0.510  0.250  0.079
O  0.740  0.250  0.747
O  0.760  0.750  0.247
O  0.990  0.750  0.579

Computed properties:
E: -4.780 eV/atom
crystal system: orthorhombic
N(E_F): 0.0 states/eV/cell
raw formation energy: -1403 meV per atom
magnetization: 0.00 μB per formula unit



16.
First-principles (PBE) data for a relaxed structure of Be2TcI8, as listed in Alexandria via LeMat-Bulk.

a = 8.617 Å, b = 8.617 Å, c = 6.581 Å
α = 91.53°, β = 91.53°, γ = 69.00°
Element x y z (fractional)
Be  0.168  0.168  0.406
Be  0.832  0.832  0.594
Tc  0.000  0.000  0.000
I  0.113  0.725  0.749
I  0.165  0.165  0.777
I  0.275  0.887  0.251
I  0.328  0.328  0.344
I  0.672  0.672  0.656
I  0.725  0.113  0.749
I  0.835  0.835  0.223
I  0.887  0.275  0.251

Computed properties:
E: -3.036 eV/atom
crystal system: monoclinic
raw formation energy: -289 meV per atom
magnetization: 2.96 μB per formula unit